A relaxed Ba2Sr4H crystal. Source: Alexandria, functional PBE.

Computed properties:
- total magnetic moment (Bohr magnetons per cell) = 0.6
- calculated total energy (eV per atom) = -1.9786

abc: 11.578 11.578 11.578
angles: 151.74 151.74 40.39
Element x y z (fractional)
Ba  0.176  0.176  0.000
Ba  0.824  0.824  0.000
Sr  0.000  0.500  0.500
Sr  0.371  0.371  0.000
Sr  0.500  0.000  0.500
Sr  0.629  0.629  0.000
H  0.500  0.500  0.000